The following is a DFT calculation (PBE-GGA) of crystalline NaPuCdPb at its relaxed geometry. Values from VASP.

The structure in Quantum ESPRESSO input format:
```
&SYSTEM
  ibrav = 0, nat = 4, ntyp = 4
/
ATOMIC_SPECIES
Na 22.99 Na.upf
Pu 244.00 Pu.upf
Cd 112.41 Cd.upf
Pb 207.20 Pb.upf
ATOMIC_POSITIONS angstrom
Na 0.0000 0.0000 0.0000
Pu 3.7957 3.7957 3.7957
Cd 5.6936 5.6936 5.6936
Pb 1.8979 1.8979 1.8979
CELL_PARAMETERS angstrom
0.0000 3.7957 3.7957
3.7957 0.0000 3.7957
3.7957 3.7957 0.0000
```

## Properties
* ΔH_f (0 K): -0.2 eV per formula unit
* total magnetic moment: 5.5 μB per formula unit
* density of states at the Fermi level: 13.6 states/eV/f.u.